1.
This record from Alexandria via LeMat-Bulk describes a geometry-optimized SbPIr structure. The functional is PBE-GGA.

Cell lengths 4.777, 4.777, 4.777 Å; angles 133.46, 133.44, 67.95 degrees
Fractional positions:
P  0.680  0.680  0.000
Sb  0.346  0.346  0.000
Ir  0.974  0.974  0.000

As for the crystal system: tetragonal. The calculation puts the formation energy (no corrections) at 0.457 eV per atom.

2.
This record from Alexandria via LeMat-Bulk describes a geometry-optimized Tb4CeSm5 structure. The functional is PBE-GGA.

Cell lengths 3.503, 10.989, 9.121 Å; angles 73.33, 101.07, 90.00 degrees
Each line ends with the local moment (μB).
Fractional positions:
Tb  0.907  0.810  0.813  0.00
Tb  0.695  0.918  0.391  -0.01
Tb  0.093  0.190  0.187  0.00
Tb  0.305  0.082  0.609  -0.01
Sm  0.895  0.284  0.791  -0.01
Sm  0.206  0.400  0.412  -0.01
Sm  0.500  0.500  0.000  -0.01
Sm  0.105  0.716  0.209  -0.01
Sm  0.794  0.600  0.588  -0.01
Ce  0.500  0.000  0.000  0.42

As for the crystal system: monoclinic. The calculation puts the calculated formation energy at 105 meV per atom.

3.
This record from Alexandria via LeMat-Bulk describes a geometry-optimized BaEu2Er structure. The functional is PBE-GGA.

Cell lengths 6.197, 6.197, 6.197 Å; angles 60.00, 60.00, 60.00 degrees
Each line ends with the local moment (μB).
Fractional positions:
Er  0.000  0.000  0.000  0.14
Eu  0.750  0.750  0.750  6.93
Eu  0.250  0.250  0.250  6.93
Ba  0.500  0.500  0.500  0.06

As for the crystal system: cubic. The calculation puts the calculated formation energy at 178 meV per atom.

4.
This record from Alexandria via LeMat-Bulk describes a geometry-optimized Sm4SnBi structure. The functional is PBE-GGA.

Cell lengths 5.655, 6.495, 11.570 Å; angles 90.00, 104.15, 90.00 degrees
Fractional positions:
Sm  0.431  0.823  0.862
Sm  0.866  0.322  0.733
Sm  0.713  0.075  0.427
Sm  0.287  0.575  0.573
Sm  0.287  0.069  0.573
Sm  0.569  0.323  0.138
Sm  0.134  0.822  0.267
Sm  0.713  0.569  0.427
Bi  0.429  0.323  0.857
Bi  0.571  0.823  0.143
Sn  0.154  0.322  0.309
Sn  0.846  0.822  0.691

As for the crystal system: orthorhombic. The calculation puts the calculated formation energy at -467 meV per atom.

5.
This record from Alexandria via LeMat-Bulk describes a geometry-optimized Cu2Si2Pb7S4O26 structure. The functional is PBE-GGA.

Cell lengths 10.809, 10.809, 9.692 Å; angles 89.26, 89.26, 30.63 degrees
Fractional positions:
O  0.429  0.429  0.854
O  0.571  0.571  0.146
O  0.714  0.147  0.565
O  0.957  0.529  0.743
O  0.313  0.313  0.976
O  0.998  0.998  0.724
O  0.853  0.286  0.435
O  0.225  0.225  0.466
O  0.119  0.119  0.244
O  0.043  0.471  0.257
O  0.687  0.687  0.024
O  0.529  0.957  0.743
O  0.775  0.775  0.534
O  0.189  0.640  0.101
O  0.640  0.189  0.101
O  0.360  0.811  0.899
O  0.663  0.663  0.613
O  0.286  0.853  0.435
O  0.337  0.337  0.387
O  0.147  0.714  0.565
O  0.804  0.804  0.027
O  0.881  0.881  0.756
O  0.471  0.043  0.257
O  0.196  0.196  0.973
O  0.811  0.360  0.899
O  0.002  0.002  0.276
Pb  0.853  0.853  0.251
Pb  0.656  0.656  0.336
Pb  0.147  0.147  0.749
Pb  0.344  0.344  0.664
Pb  0.475  0.475  0.284
Pb  0.000  0.000  0.000
Pb  0.525  0.525  0.716
Cu  0.000  0.500  0.000
Cu  0.500  0.000  0.000
Si  0.606  0.606  0.994
Si  0.394  0.394  0.006
S  0.933  0.933  0.653
S  0.067  0.067  0.347
S  0.268  0.268  0.346
S  0.732  0.732  0.654

As for the crystal system: monoclinic. The calculation puts the formation energy (no corrections) at -1.460 eV per atom.

6.
This record from Alexandria via LeMat-Bulk describes a geometry-optimized In2SnS structure. The functional is PBE-GGA.

Cell lengths 3.534, 3.534, 7.877 Å; angles 90.00, 90.00, 90.00 degrees
Fractional positions:
Sn  0.500  0.500  0.500
In  0.000  0.000  0.211
In  0.000  0.000  0.789
S  0.500  0.500  0.000

As for the crystal system: tetragonal. The calculation puts the formation energy (no corrections) at -0.056 eV per atom.